# SmGa12Pd6 GGA-PBE optimized geometry
data_SmGa12Pd6
_chemical_formula_sum 'Sm1 Ga12 Pd6'
_cell_length_a 7.199
_cell_length_b 7.199
_cell_length_c 7.199
_cell_angle_alpha 104.06
_cell_angle_beta 104.06
_cell_angle_gamma 104.06
_space_group_name_H-M_alt 'P 1'
_space_group_IT_number 1
loop_
_space_group_symop_operation_xyz
'x,y,z'
loop_
_atom_site_label
_atom_site_type_symbol
_atom_site_fract_x
_atom_site_fract_y
_atom_site_fract_z
Ga1 Ga 0.890 0.110 0.500
Ga2 Ga 0.605 0.856 0.605
Ga3 Ga 0.605 0.605 0.856
Ga4 Ga 0.110 0.500 0.890
Ga5 Ga 0.890 0.500 0.110
Ga6 Ga 0.500 0.110 0.890
Ga7 Ga 0.395 0.395 0.144
Ga8 Ga 0.500 0.890 0.110
Ga9 Ga 0.144 0.395 0.395
Ga10 Ga 0.856 0.605 0.605
Ga11 Ga 0.110 0.890 0.500
Ga12 Ga 0.395 0.144 0.395
Sm1 Sm 0.000 0.000 0.000
Pd1 Pd 0.711 0.283 0.711
Pd2 Pd 0.289 0.289 0.717
Pd3 Pd 0.283 0.711 0.711
Pd4 Pd 0.289 0.717 0.289
Pd5 Pd 0.717 0.289 0.289
Pd6 Pd 0.711 0.711 0.283
# - D(E_F): 6.10 states/eV/f.u.
# - Mass density: 8.12 Mg/m³
# - Formation energy: -483 meV/atom
# - E: -0.157 hartree per atom
# - Space-group type: R-3m

# LiAcCdIn2 GGA-PBE optimized geometry
data_LiAcCdIn2
_chemical_formula_sum 'Li1 Ac1 Cd1 In2'
_cell_length_a 4.738
_cell_length_b 4.738
_cell_length_c 6.906
_cell_angle_alpha 110.06
_cell_angle_beta 110.06
_cell_angle_gamma 90.00
_space_group_name_H-M_alt 'P 1'
_space_group_IT_number 1
loop_
_space_group_symop_operation_xyz
'x,y,z'
loop_
_atom_site_label
_atom_site_type_symbol
_atom_site_fract_x
_atom_site_fract_y
_atom_site_fract_z
Ac1 Ac 0.000 0.000 0.000
In1 In 0.617 0.617 0.234
In2 In 0.383 0.383 0.766
Li1 Li 0.750 0.250 0.500
Cd1 Cd 0.250 0.750 0.500
# - D(E_F): 2.96 states/eV/f.u.
# - Mass density: 7.06 Mg/m³
# - Formation energy: -351 meV/atom
# - E: -0.104 hartree per atom
# - Space-group type: I-4m2

# Ho5Er2Tm12 GGA-PBE optimized geometry
data_Ho5Er2Tm12
_chemical_formula_sum 'Ho5 Er2 Tm12'
_cell_length_a 9.071
_cell_length_b 8.991
_cell_length_c 8.369
_cell_angle_alpha 90.94
_cell_angle_beta 90.00
_cell_angle_gamma 120.30
_space_group_name_H-M_alt 'P 1'
_space_group_IT_number 1
loop_
_space_group_symop_operation_xyz
'x,y,z'
loop_
_atom_site_label
_atom_site_type_symbol
_atom_site_fract_x
_atom_site_fract_y
_atom_site_fract_z
Tm1 Tm 0.180 0.746 0.339
Tm2 Tm 0.566 0.746 0.339
Tm3 Tm 0.337 0.310 0.244
Tm4 Tm 0.909 0.818 0.115
Tm5 Tm 0.091 0.182 0.885
Tm6 Tm 0.820 0.254 0.661
Tm7 Tm 0.663 0.690 0.756
Tm8 Tm 0.434 0.254 0.661
Tm9 Tm 0.557 0.114 0.333
Tm10 Tm 0.973 0.310 0.244
Tm11 Tm 0.443 0.886 0.667
Tm12 Tm 0.027 0.690 0.756
Er1 Er 0.679 0.000 0.000
Er2 Er 0.321 0.000 0.000
Ho1 Ho 0.301 0.603 0.991
Ho2 Ho 0.699 0.397 0.009
Ho3 Ho 0.767 0.534 0.425
Ho4 Ho 0.000 0.000 0.500
Ho5 Ho 0.233 0.466 0.575
# - D(E_F): 28.43 states/eV/f.u.
# - Mass density: 8.98 Mg/m³
# - Formation energy: 128 meV/atom
# - E above lowest polymorph: 32 meV per atom
# - E: -0.161 hartree per atom
# - Space-group type: C2/m

# Pu2TiF8 GGA-PBE optimized geometry
data_Pu2TiF8
_chemical_formula_sum 'Pu2 Ti1 F8'
_cell_length_a 4.786
_cell_length_b 6.268
_cell_length_c 6.268
_cell_angle_alpha 73.83
_cell_angle_beta 74.43
_cell_angle_gamma 74.43
_space_group_name_H-M_alt 'P 1'
_space_group_IT_number 1
loop_
_space_group_symop_operation_xyz
'x,y,z'
loop_
_atom_site_label
_atom_site_type_symbol
_atom_site_fract_x
_atom_site_fract_y
_atom_site_fract_z
Ti1 Ti 0.000 0.000 0.000
F1 F 0.730 0.321 0.954
F2 F 0.771 0.875 0.875
F3 F 0.730 0.954 0.321
F4 F 0.194 0.589 0.589
F5 F 0.270 0.046 0.679
F6 F 0.270 0.679 0.046
F7 F 0.229 0.125 0.125
F8 F 0.806 0.411 0.411
Pu1 Pu 0.358 0.331 0.331
Pu2 Pu 0.642 0.669 0.669
# - D(E_F): 26.65 states/eV/f.u.
# - Mass density: 6.71 Mg/m³
# - E above lowest polymorph: 0 meV per atom
# - E: -0.298 hartree per atom
# - Space-group type: C2/m
# - Uncorrected formation energy: -3.42 eV/atom

# AsIrAuC2 GGA-PBE optimized geometry
data_AsIrAuC2
_chemical_formula_sum 'As1 Ir1 Au1 C2'
_cell_length_a 3.884
_cell_length_b 4.127
_cell_length_c 5.176
_cell_angle_alpha 102.87
_cell_angle_beta 92.20
_cell_angle_gamma 104.64
_space_group_name_H-M_alt 'P 1'
_space_group_IT_number 1
loop_
_space_group_symop_operation_xyz
'x,y,z'
loop_
_atom_site_label
_atom_site_type_symbol
_atom_site_fract_x
_atom_site_fract_y
_atom_site_fract_z
C1 C 0.165 0.522 0.755
C2 C 0.275 0.637 0.549
Au1 Au 0.737 0.080 0.590
Ir1 Ir 0.301 0.633 0.160
As1 As 0.667 0.222 0.097
# - D(E_F): 1.55 states/eV/f.u.
# - Mass density: 10.41 Mg/m³
# - Formation energy: 664 meV/atom
# - E above lowest polymorph: 113 meV per atom
# - E: -0.235 hartree per atom
# - Space-group type: P1

# Sc2CuW GGA-PBE optimized geometry
data_Sc2CuW
_chemical_formula_sum 'Sc2 Cu1 W1'
_cell_length_a 2.994
_cell_length_b 4.162
_cell_length_c 5.846
_cell_angle_alpha 90.00
_cell_angle_beta 90.00
_cell_angle_gamma 90.00
_space_group_name_H-M_alt 'P 1'
_space_group_IT_number 1
loop_
_space_group_symop_operation_xyz
'x,y,z'
loop_
_atom_site_label
_atom_site_type_symbol
_atom_site_fract_x
_atom_site_fract_y
_atom_site_fract_z
Sc1 Sc 0.500 0.500 0.283
Sc2 Sc 0.000 0.000 0.972
Cu1 Cu 0.500 0.500 0.755
W1 W 0.000 0.000 0.491
# - D(E_F): 2.34 states/eV/f.u.
# - Mass density: 7.69 Mg/m³
# - Formation energy: 283 meV/atom
# - E above lowest polymorph: 217 meV per atom
# - E: -0.263 hartree per atom
# - Space-group type: Pmm2

# TlPb2C GGA-PBE optimized geometry
data_TlPb2C
_chemical_formula_sum 'Tl2 Pb4 C2'
_cell_length_a 7.552
_cell_length_b 7.552
_cell_length_c 6.476
_cell_angle_alpha 54.34
_cell_angle_beta 54.34
_cell_angle_gamma 90.00
_space_group_name_H-M_alt 'P 1'
_space_group_IT_number 1
loop_
_space_group_symop_operation_xyz
'x,y,z'
loop_
_atom_site_label
_atom_site_type_symbol
_atom_site_fract_x
_atom_site_fract_y
_atom_site_fract_z
Pb1 Pb 0.875 0.783 0.750
Pb2 Pb 0.533 0.125 0.250
Pb3 Pb 0.217 0.625 0.250
Pb4 Pb 0.375 0.467 0.750
C1 C 0.500 0.500 0.000
C2 C 0.250 0.750 0.500
Tl1 Tl 0.000 0.000 0.000
Tl2 Tl 0.750 0.250 0.500
# - D(E_F): 1.90 states/eV/f.u.
# - Mass density: 10.02 Mg/m³
# - Formation energy: 943 meV/atom
# - E above lowest polymorph: 0 meV per atom
# - E: -0.140 hartree per atom
# - Space-group type: I-42d

# Cu5Sn12Hg3 GGA-PBE optimized geometry
data_Cu5Sn12Hg3
_chemical_formula_sum 'Cu20 Sn48 Hg12'
_cell_length_a 13.956
_cell_length_b 13.956
_cell_length_c 13.956
_cell_angle_alpha 109.47
_cell_angle_beta 109.47
_cell_angle_gamma 109.47
_space_group_name_H-M_alt 'P 1'
_space_group_IT_number 1
loop_
_space_group_symop_operation_xyz
'x,y,z'
loop_
_atom_site_label
_atom_site_type_symbol
_atom_site_fract_x
_atom_site_fract_y
_atom_site_fract_z
Cu1 Cu 0.375 0.250 0.125
Cu2 Cu 0.875 0.625 0.750
Cu3 Cu 0.000 0.000 0.500
Cu4 Cu 0.125 0.750 0.375
Cu5 Cu 0.750 0.125 0.875
Cu6 Cu 0.000 0.000 0.000
Cu7 Cu 0.000 0.500 0.000
Cu8 Cu 0.500 0.000 0.500
Cu9 Cu 0.500 0.000 0.000
Cu10 Cu 0.500 0.500 0.000
Cu11 Cu 0.000 0.500 0.500
Cu12 Cu 0.500 0.500 0.500
Cu13 Cu 0.375 0.125 0.750
Cu14 Cu 0.250 0.875 0.125
Cu15 Cu 0.875 0.250 0.625
Cu16 Cu 0.625 0.875 0.250
Cu17 Cu 0.750 0.625 0.375
Cu18 Cu 0.125 0.375 0.250
Cu19 Cu 0.625 0.750 0.875
Cu20 Cu 0.250 0.375 0.625
Sn1 Sn 0.713 0.111 0.038
Sn2 Sn 0.787 0.462 0.389
Sn3 Sn 0.325 0.787 0.399
Sn4 Sn 0.038 0.611 0.713
Sn5 Sn 0.175 0.101 0.713
Sn6 Sn 0.538 0.213 0.111
Sn7 Sn 0.101 0.926 0.389
Sn8 Sn 0.462 0.675 0.074
Sn9 Sn 0.101 0.175 0.213
Sn10 Sn 0.713 0.601 0.175
Sn11 Sn 0.074 0.175 0.462
Sn12 Sn 0.675 0.462 0.574
Sn13 Sn 0.175 0.074 0.962
Sn14 Sn 0.889 0.287 0.462
Sn15 Sn 0.111 0.399 0.074
Sn16 Sn 0.399 0.111 0.574
Sn17 Sn 0.926 0.825 0.538
Sn18 Sn 0.399 0.287 0.325
Sn19 Sn 0.962 0.389 0.287
Sn20 Sn 0.787 0.325 0.899
Sn21 Sn 0.675 0.213 0.601
Sn22 Sn 0.601 0.889 0.426
Sn23 Sn 0.899 0.074 0.611
Sn24 Sn 0.074 0.899 0.111
Sn25 Sn 0.574 0.611 0.399
Sn26 Sn 0.611 0.574 0.899
Sn27 Sn 0.462 0.787 0.889
Sn28 Sn 0.899 0.825 0.787
Sn29 Sn 0.389 0.426 0.101
Sn30 Sn 0.601 0.713 0.675
Sn31 Sn 0.287 0.889 0.962
Sn32 Sn 0.426 0.389 0.601
Sn33 Sn 0.574 0.962 0.675
Sn34 Sn 0.213 0.538 0.611
Sn35 Sn 0.926 0.101 0.889
Sn36 Sn 0.889 0.601 0.926
Sn37 Sn 0.325 0.538 0.426
Sn38 Sn 0.611 0.038 0.213
Sn39 Sn 0.111 0.713 0.538
Sn40 Sn 0.825 0.926 0.038
Sn41 Sn 0.825 0.899 0.287
Sn42 Sn 0.213 0.675 0.101
Sn43 Sn 0.538 0.325 0.926
Sn44 Sn 0.389 0.962 0.787
Sn45 Sn 0.038 0.426 0.825
Sn46 Sn 0.962 0.574 0.175
Sn47 Sn 0.287 0.399 0.825
Sn48 Sn 0.426 0.038 0.325
Hg1 Hg 0.625 0.250 0.375
Hg2 Hg 0.750 0.875 0.625
Hg3 Hg 0.625 0.375 0.750
Hg4 Hg 0.875 0.125 0.250
Hg5 Hg 0.875 0.750 0.125
Hg6 Hg 0.250 0.625 0.875
Hg7 Hg 0.375 0.625 0.250
Hg8 Hg 0.125 0.250 0.875
Hg9 Hg 0.375 0.750 0.625
Hg10 Hg 0.250 0.125 0.375
Hg11 Hg 0.750 0.375 0.125
Hg12 Hg 0.125 0.875 0.750
# - D(E_F): 5.11 states/eV/f.u.
# - Mass density: 7.44 Mg/m³
# - Formation energy: 159 meV/atom
# - E: -0.122 hartree per atom
# - Space-group type: Ia-3d

# Pm6Al2Ag GGA-PBE optimized geometry
data_Pm6Al2Ag
_chemical_formula_sum 'Pm12 Al4 Ag2'
_cell_length_a 8.849
_cell_length_b 8.849
_cell_length_c 8.849
_cell_angle_alpha 107.23
_cell_angle_beta 111.99
_cell_angle_gamma 109.23
_space_group_name_H-M_alt 'P 1'
_space_group_IT_number 1
loop_
_space_group_symop_operation_xyz
'x,y,z'
loop_
_atom_site_label
_atom_site_type_symbol
_atom_site_fract_x
_atom_site_fract_y
_atom_site_fract_z
Pm1 Pm 0.804 0.254 0.059
Pm2 Pm 0.713 0.387 0.674
Pm3 Pm 0.287 0.961 0.674
Pm4 Pm 0.713 0.039 0.326
Pm5 Pm 0.196 0.746 0.941
Pm6 Pm 0.558 0.734 0.824
Pm7 Pm 0.287 0.613 0.326
Pm8 Pm 0.091 0.266 0.824
Pm9 Pm 0.196 0.254 0.450
Pm10 Pm 0.804 0.746 0.550
Pm11 Pm 0.909 0.734 0.176
Pm12 Pm 0.442 0.266 0.176
Ag1 Ag 0.000 0.500 0.500
Ag2 Ag 0.000 0.000 0.000
Al1 Al 0.362 0.000 0.362
Al2 Al 0.500 0.376 0.876
Al3 Al 0.638 0.000 0.638
Al4 Al 0.500 0.624 0.124
# - D(E_F): 10.07 states/eV/f.u.
# - Mass density: 6.44 Mg/m³
# - Formation energy: -181 meV/atom
# - E above lowest polymorph: 0 meV per atom
# - E: -0.165 hartree per atom
# - Space-group type: Immm

# ReHSe GGA-PBE optimized geometry
data_ReHSe
_chemical_formula_sum 'Re6 H6 Se6'
_cell_length_a 4.549
_cell_length_b 7.077
_cell_length_c 10.225
_cell_angle_alpha 88.33
_cell_angle_beta 77.15
_cell_angle_gamma 71.25
_space_group_name_H-M_alt 'P 1'
_space_group_IT_number 1
loop_
_space_group_symop_operation_xyz
'x,y,z'
loop_
_atom_site_label
_atom_site_type_symbol
_atom_site_fract_x
_atom_site_fract_y
_atom_site_fract_z
Se1 Se 0.419 0.728 0.427
Se2 Se 0.427 0.228 0.927
Se3 Se 0.723 0.539 0.054
Se4 Se 0.684 0.039 0.554
Se5 Se 0.906 0.957 0.143
Se6 Se 0.994 0.457 0.643
H1 H 0.006 0.081 0.873
H2 H 0.153 0.222 0.284
H3 H 0.772 0.785 0.809
H4 H 0.040 0.581 0.373
H5 H 0.341 0.722 0.784
H6 H 0.633 0.285 0.309
Re1 Re 0.884 0.463 0.265
Re2 Re 0.484 0.289 0.164
Re3 Re 0.844 0.186 0.731
Re4 Re 0.388 0.963 0.765
Re5 Re 0.239 0.686 0.231
Re6 Re 0.063 0.789 0.664
# - D(E_F): 1.14 states/eV/f.u.
# - Mass density: 8.74 Mg/m³
# - E: -0.227 hartree per atom
# - Space-group type: Cc

# SeSCl3 GGA-PBE optimized geometry
data_SeSCl3
_chemical_formula_sum 'Se1 S1 Cl3'
_cell_length_a 4.949
_cell_length_b 4.949
_cell_length_c 4.949
_cell_angle_alpha 90.00
_cell_angle_beta 90.00
_cell_angle_gamma 90.00
_space_group_name_H-M_alt 'P 1'
_space_group_IT_number 1
loop_
_space_group_symop_operation_xyz
'x,y,z'
loop_
_atom_site_label
_atom_site_type_symbol
_atom_site_fract_x
_atom_site_fract_y
_atom_site_fract_z
S1 S 0.000 0.000 0.000
Cl1 Cl 0.500 0.000 0.000
Cl2 Cl 0.000 0.500 0.000
Cl3 Cl 0.000 0.000 0.500
Se1 Se 0.500 0.500 0.500
# - D(E_F): 3.07 states/eV/f.u.
# - Mass density: 2.98 Mg/m³
# - E above lowest polymorph: 536 meV per atom
# - E: -0.079 hartree per atom
# - Space-group type: Pm-3m
# - Uncorrected formation energy: 0.48 eV/atom

# La2Zn3In5 GGA-PBE optimized geometry
data_La2Zn3In5
_chemical_formula_sum 'La4 Zn6 In10'
_cell_length_a 6.465
_cell_length_b 9.281
_cell_length_c 9.281
_cell_angle_alpha 77.29
_cell_angle_beta 69.62
_cell_angle_gamma 69.62
_space_group_name_H-M_alt 'P 1'
_space_group_IT_number 1
loop_
_space_group_symop_operation_xyz
'x,y,z'
loop_
_atom_site_label
_atom_site_type_symbol
_atom_site_fract_x
_atom_site_fract_y
_atom_site_fract_z
Zn1 Zn 0.750 0.000 0.000
Zn2 Zn 0.125 0.239 0.511
Zn3 Zn 0.375 0.489 0.761
Zn4 Zn 0.250 0.000 0.000
Zn5 Zn 0.625 0.511 0.239
Zn6 Zn 0.875 0.761 0.489
In1 In 0.497 0.253 0.253
In2 In 0.750 0.500 0.500
In3 In 0.113 0.028 0.745
In4 In 0.887 0.972 0.255
In5 In 0.003 0.747 0.747
In6 In 0.250 0.500 0.500
In7 In 0.997 0.253 0.253
In8 In 0.613 0.745 0.028
In9 In 0.503 0.747 0.747
In10 In 0.387 0.255 0.972
La1 La 0.372 0.877 0.379
La2 La 0.872 0.379 0.877
La3 La 0.628 0.123 0.621
La4 La 0.128 0.621 0.123
# - D(E_F): 3.22 states/eV/f.u.
# - Mass density: 7.16 Mg/m³
# - Formation energy: -355 meV/atom
# - E: -0.114 hartree per atom
# - Space-group type: Ibam